Crystalline SrPr2MnO5 at its relaxed geometry, computed with GGA+U. Values from VASP.

```
&SYSTEM
  ibrav = 0, nat = 18, ntyp = 4
/
ATOMIC_SPECIES
O 16.00 O.upf
Pr 140.91 Pr.upf
Sr 87.62 Sr.upf
Mn 54.94 Mn.upf
CELL_PARAMETERS angstrom
5.778 0.000 0.000
0.000 6.816 0.000
0.000 0.000 6.816
ATOMIC_POSITIONS crystal
O 0.761 0.138 0.638
O 0.761 0.638 0.862
Pr 0.500 0.173 0.327
Sr 0.000 0.500 0.500
Pr 0.500 0.673 0.173
Mn 0.000 0.000 0.500
O 0.500 0.500 0.500
Sr 0.000 0.000 0.000
O 0.239 0.138 0.638
O 0.761 0.862 0.362
Mn 0.000 0.500 0.000
O 0.500 0.000 0.000
O 0.239 0.638 0.862
O 0.761 0.362 0.138
O 0.239 0.362 0.138
Pr 0.500 0.327 0.827
O 0.239 0.862 0.362
Pr 0.500 0.827 0.673
```

Values from the calculation:
Its volume is 134 Å³/f.u. As for the uncorrected energy: -134.97 eV for the cell shown. As for the space-group type: P4/mbm (127).